DFT (PBE) results for crystalline LaBe2BOs2 at its relaxed geometry.

Unit cell a=4.1436 b=4.1436 c=5.4104 alpha=90.00 beta=90.00 gamma=90.00
Fractional coordinates of all 6 atoms:
La 0.0000 0.0000 0.5000
Be 0.5000 0.5000 0.7841
Be 0.5000 0.5000 0.2159
B 0.0000 0.0000 0.0000
Os 0.5000 0.0000 0.0000
Os 0.0000 0.5000 0.0000

Calculated values
SG	P4/mmm
magnetization	0.00	μB per cell


DFT (PBE) results for crystalline LaBeBPd6 at its relaxed geometry.

Unit cell a=7.1757 b=8.0624 c=7.6587 alpha=121.76 beta=117.93 gamma=90.00
Fractional coordinates of all 18 atoms:
La 0.8556 0.6056 0.7111
La 0.1444 0.3944 0.2889
Be 0.5000 0.0000 0.5000
Be 0.0000 0.0000 0.5000
B 0.5000 0.5000 0.0000
B 0.5000 0.0000 0.0000
Pd 0.4399 0.6899 0.8797
Pd 0.8702 0.1202 0.7405
Pd 0.8416 0.1004 0.2533
Pd 0.4117 0.6530 0.2533
Pd 0.4117 0.1004 0.2533
Pd 0.8416 0.6530 0.2533
Pd 0.5601 0.3101 0.1203
Pd 0.1298 0.8798 0.2595
Pd 0.1584 0.8996 0.7467
Pd 0.5883 0.3470 0.7467
Pd 0.5883 0.8996 0.7467
Pd 0.1584 0.3470 0.7467

Calculated values
SG	Imma
magnetization	0.00	μB per cell


DFT (PBE) results for crystalline La3BeB2Pt9 at its relaxed geometry.

Unit cell a=5.8442 b=5.8442 c=9.0460 alpha=90.00 beta=90.00 gamma=120.00
Fractional coordinates of all 15 atoms:
La 0.3333 0.6667 0.6217
La 0.0000 0.0000 0.0000
La 0.6667 0.3333 0.3783
Be 0.0000 0.0000 0.5000
B 0.3333 0.6667 0.1573
B 0.6667 0.3333 0.8427
Pt 0.8372 0.1628 0.7003
Pt 0.8372 0.6744 0.7003
Pt 0.3256 0.1628 0.7003
Pt 0.6744 0.8372 0.2997
Pt 0.1628 0.3256 0.2997
Pt 0.1628 0.8372 0.2997
Pt 0.5000 0.0000 0.0000
Pt 0.0000 0.5000 0.0000
Pt 0.5000 0.5000 0.0000

Calculated values
SG	P-3m1
magnetization	0.00	μB per cell


DFT (PBE) results for crystalline La2BeBPt6 at its relaxed geometry.

Unit cell a=5.7823 b=5.7823 c=6.6206 alpha=115.90 beta=115.90 gamma=89.99
Fractional coordinates of all 10 atoms:
La 0.7118 0.2124 0.4241
La 0.2118 0.7123 0.4240
Be 0.5670 0.5675 0.1340
B 0.0692 0.0696 0.1383
Pt 0.7254 0.7258 0.9424
Pt 0.7786 0.7791 0.5576
Pt 0.2172 0.2177 0.9423
Pt 0.7254 0.2178 0.9423
Pt 0.2752 0.2757 0.5507
Pt 0.2173 0.7259 0.9423

Calculated values
SG	I4mm
magnetization	0.00	μB per cell


no.,formation energy from the elements (meV per atom)
1,-300.7
2,-383.2
3,-836.4
4,-936.7